i:
VASP calculation (PBE) on an optimized crystal structure of Zr2ScAgH.

a b c (Å): 4.347 4.347 4.645
angles (deg): 90.00 90.00 90.00
Fractional positions:
Sc 0.500 0.500 0.500
H 0.000 0.000 0.000
Zr 0.000 0.500 0.000
Zr 0.500 0.000 0.000
Ag 0.000 0.000 0.500

ii:
VASP calculation (PBE) on an optimized crystal structure of Zr2ScAgH.

a b c (Å): 4.385 4.385 4.551
angles (deg): 90.00 90.00 90.00
Fractional positions:
Sc 0.000 0.000 0.500
H 0.000 0.000 0.000
Zr 0.000 0.500 0.000
Zr 0.500 0.000 0.000
Ag 0.500 0.500 0.500

Preferred: ii; penalty for the next structure: 5.8 kJ/mol of atoms.